CaZrSe: optimized geometry, GGA-PBE.

The structure in POSCAR format:
```
CaZrSe
1.0
-2.0308 -3.8915 0.6743
1.6600 -0.3018 3.2576
-14.2869 8.8592 8.1012
Ca Se Zr
4 4 4
Cartesian
-1.9993 -1.3357 0.8951 Ca
-8.3127 2.9431 6.5745 Ca
-5.7317 3.5542 3.2501 Ca
-12.0451 7.8329 8.9295 Ca
-14.0872 6.1600 7.7494 Se
-6.1138 1.5795 5.3276 Se
-8.2919 5.1418 4.7018 Se
-0.3185 0.5613 2.2800 Se
-11.9976 4.8642 6.5645 Zr
-4.0241 0.2837 4.1427 Zr
-2.9634 1.8376 1.6804 Zr
-9.2768 6.1163 7.3597 Zr
```

Calculated values
E above lowest polymorph = 0.143 eV per formula unit
ΔE_f (raw) = -953 meV per atom
DOS at the Fermi energy = 0.77 states/eV per atom